Record 1
SbOsSN2 | PBEsol | relaxed

Calculated values
**Excess energy over the best structure of this formula in the dataset**: 1.394 eV/atom
**Raw formation energy**: 1.997 eV/atom

Cell and atoms, written as CIF:
```
data_SbOsSN2
_chemical_formula_sum 'Sb1 Os1 S1 N2'
_space_group_name_H-M_alt 'P 4/m m m'
_space_group_IT_number 123
_space_group_name_Hall '-P 4 2'
_cell_length_a 3.883
_cell_length_b 3.883
_cell_length_c 5.197
_cell_angle_alpha 90.00
_cell_angle_beta 90.00
_cell_angle_gamma 90.00
loop_
_atom_site_label
_atom_site_fract_x
_atom_site_fract_y
_atom_site_fract_z
Sb1 0.000 0.000 0.000
Os1 0.500 0.500 0.500
S1 0.000 0.000 0.500
N1 0.000 0.500 0.000
```

---

Record 2
MgZn3 | PBEsol | relaxed

Calculated values
**Energy relative to the elements**: 0.01 eV per atom

Cell and atoms, written as CIF:
```
data_MgZn3
_chemical_formula_sum 'Mg4 Zn12'
_space_group_name_H-M_alt 'F m -3 m'
_space_group_IT_number 225
_space_group_name_Hall '-F 4 2 3'
_cell_length_a 6.285
_cell_length_b 6.285
_cell_length_c 6.285
_cell_angle_alpha 90.00
_cell_angle_beta 90.00
_cell_angle_gamma 90.00
loop_
_atom_site_label
_atom_site_fract_x
_atom_site_fract_y
_atom_site_fract_z
Mg1 0.000 0.000 0.000
Zn1 0.000 0.000 0.500
Zn2 0.250 0.250 0.250
```

---

Record 3
Sr3B6O11F2 | PBEsol | relaxed

Calculated values
**Raw formation energy**: -2.886 eV/atom

Cell and atoms, written as CIF:
```
data_Sr3B6O11F2
_chemical_formula_sum 'Sr6 B12 O22 F4'
_space_group_name_H-M_alt 'P 1 21 1'
_space_group_IT_number 4
_cell_length_a 6.369
_cell_length_b 8.235
_cell_length_c 9.411
_cell_angle_alpha 90.00
_cell_angle_beta 101.54
_cell_angle_gamma 90.00
loop_
_space_group_symop_operation_xyz
'x,y,z'
'-x,y+1/2,-z'
loop_
_atom_site_label
_atom_site_fract_x
_atom_site_fract_y
_atom_site_fract_z
Sr1 0.020 0.000 0.235
Sr2 0.436 0.360 0.469
Sr3 0.455 0.844 0.945
B1 0.010 0.683 0.443
B2 0.069 0.360 0.144
B3 0.107 0.139 0.937
B4 0.109 0.899 0.628
B5 0.268 0.622 0.212
B6 0.331 0.146 0.733
O1 0.017 0.803 0.729
O2 0.053 0.520 0.447
O3 0.080 0.962 0.958
O4 0.085 0.708 0.163
O5 0.139 0.215 0.079
O6 0.164 0.786 0.516
O7 0.181 0.248 0.628
O8 0.271 0.456 0.202
O9 0.300 0.173 0.879
O10 0.310 0.975 0.692
O11 0.450 0.706 0.275
F1 0.335 0.558 0.904
F2 0.370 0.078 0.389
```

---

Record 4
GdB2 | PBEsol | relaxed

Calculated values
**Energy relative to the elements**: -0.55 eV per atom

Cell and atoms, written as CIF:
```
data_GdB2
_chemical_formula_sum 'Gd1 B2'
_space_group_name_H-M_alt 'P 6/m m m'
_space_group_IT_number 191
_space_group_name_Hall '-P 6 2'
_cell_length_a 3.2699
_cell_length_b 3.2699
_cell_length_c 3.8979
_cell_angle_alpha 90.00
_cell_angle_beta 90.00
_cell_angle_gamma 120.00
loop_
_atom_site_label
_atom_site_fract_x
_atom_site_fract_y
_atom_site_fract_z
Gd1 0.0000 0.0000 0.0000
B1 0.3333 0.6667 0.5000
```

---

Record 5
Er10NiSb5 | PBEsol | relaxed

Calculated values
**Raw formation energy**: -0.841 eV/atom

Cell and atoms, written as CIF:
```
data_Er10NiSb5
_chemical_formula_sum 'Er20 Ni2 Sb10'
_space_group_name_H-M_alt 'P m c 21'
_space_group_IT_number 26
_cell_length_a 9.023
_cell_length_b 7.741
_cell_length_c 11.645
_cell_angle_alpha 90.00
_cell_angle_beta 90.00
_cell_angle_gamma 90.00
loop_
_space_group_symop_operation_xyz
'x,y,z'
'-x,-y,z+1/2'
'-x,y,z'
'x,-y,z+1/2'
loop_
_atom_site_label
_atom_site_fract_x
_atom_site_fract_y
_atom_site_fract_z
Er1 0.000 0.077 0.000
Er2 0.000 0.234 0.279
Er3 0.000 0.407 0.558
Er4 0.222 0.432 0.840
Er5 0.315 0.064 0.710
Er6 0.500 0.119 0.972
Er7 0.500 0.298 0.275
Er8 0.500 0.408 0.568
Ni1 0.500 0.330 0.789
Sb1 0.000 0.158 0.748
Sb2 0.242 0.317 0.102
Sb3 0.258 0.181 0.448
```

---

Record 6
LaCo2Hg | PBEsol | relaxed

Calculated values
**Energy relative to the elements**: 0.20 eV per atom

Cell and atoms, written as CIF:
```
data_LaCo2Hg
_chemical_formula_sum 'La2 Co4 Hg2'
_space_group_name_H-M_alt 'I m m 2'
_space_group_IT_number 44
_cell_length_a 3.278
_cell_length_b 4.390
_cell_length_c 9.844
_cell_angle_alpha 90.00
_cell_angle_beta 90.00
_cell_angle_gamma 90.00
loop_
_space_group_symop_operation_xyz
'x,y,z'
'-x,-y,z'
'-x,y,z'
'x,-y,z'
'x+1/2,y+1/2,z+1/2'
'-x+1/2,-y+1/2,z+1/2'
'-x+1/2,y+1/2,z+1/2'
'x+1/2,-y+1/2,z+1/2'
loop_
_atom_site_label
_atom_site_fract_x
_atom_site_fract_y
_atom_site_fract_z
La1 0.000 0.000 0.000
Co1 0.000 0.000 0.471
Co2 0.000 0.500 0.791
Hg1 0.000 0.500 0.223
```

---

Record 7
Cs2TiGe | PBEsol | relaxed

Calculated values
**Energy relative to the elements**: 1.12 eV per atom

Cell and atoms, written as CIF:
```
data_Cs2TiGe
_chemical_formula_sum 'Cs8 Ti4 Ge4'
_space_group_name_H-M_alt 'F m -3 m'
_space_group_IT_number 225
_space_group_name_Hall '-F 4 2 3'
_cell_length_a 8.269
_cell_length_b 8.269
_cell_length_c 8.269
_cell_angle_alpha 90.00
_cell_angle_beta 90.00
_cell_angle_gamma 90.00
loop_
_atom_site_label
_atom_site_fract_x
_atom_site_fract_y
_atom_site_fract_z
Cs1 0.250 0.250 0.250
Ti1 0.000 0.000 0.000
Ge1 0.000 0.000 0.500
```

---

Record 8
PbSeO4 | PBEsol | relaxed

Calculated values
**Raw formation energy**: -0.929 eV/atom

Cell and atoms, written as CIF:
```
data_PbSeO4
_chemical_formula_sum 'Pb4 Se4 O16'
_space_group_name_H-M_alt 'P 1 21/c 1'
_space_group_IT_number 14
_cell_length_a 6.943
_cell_length_b 7.416
_cell_length_c 8.734
_cell_angle_alpha 90.00
_cell_angle_beta 127.06
_cell_angle_gamma 90.00
loop_
_space_group_symop_operation_xyz
'x,y,z'
'-x,-y,-z'
'-x,y+1/2,-z+1/2'
'x,-y+1/2,z+1/2'
loop_
_atom_site_label
_atom_site_fract_x
_atom_site_fract_y
_atom_site_fract_z
Pb1 0.189 0.148 0.284
Se1 0.312 0.664 0.194
O1 0.129 0.656 0.616
O2 0.184 0.503 0.238
O3 0.345 0.609 0.025
O4 0.405 0.209 0.118
```

---

Record 9
HfCrGa3 | PBEsol | relaxed

Calculated values
**Energy relative to the elements**: 1.04 eV per atom

Cell and atoms, written as CIF:
```
data_HfCrGa3
_chemical_formula_sum 'Hf1 Cr1 Ga3'
_space_group_name_H-M_alt 'P m -3 m'
_space_group_IT_number 221
_space_group_name_Hall '-P 4 2 3'
_cell_length_a 5.032
_cell_length_b 5.032
_cell_length_c 5.032
_cell_angle_alpha 90.00
_cell_angle_beta 90.00
_cell_angle_gamma 90.00
loop_
_atom_site_label
_atom_site_fract_x
_atom_site_fract_y
_atom_site_fract_z
Hf1 0.000 0.000 0.000
Cr1 0.500 0.500 0.500
Ga1 0.000 0.000 0.500
```

---

Record 10
Hg7Cl | PBEsol | relaxed

Calculated values
**Raw formation energy**: -0.043 eV/atom

Cell and atoms, written as CIF:
```
data_Hg7Cl
_chemical_formula_sum 'Hg28 Cl4'
_space_group_name_H-M_alt 'F m -3 m'
_space_group_IT_number 225
_space_group_name_Hall '-F 4 2 3'
_cell_length_a 9.048
_cell_length_b 9.048
_cell_length_c 9.048
_cell_angle_alpha 90.00
_cell_angle_beta 90.00
_cell_angle_gamma 90.00
loop_
_atom_site_label
_atom_site_fract_x
_atom_site_fract_y
_atom_site_fract_z
Hg1 0.000 0.000 0.000
Hg2 0.000 0.250 0.250
Cl1 0.000 0.000 0.500
```

---

Record 11
FeRh2W | PBEsol | relaxed

Calculated values
**Excess energy over the best structure of this formula in the dataset**: 0.032 eV/atom
**Energy relative to the elements**: -0.12 eV per atom

Cell and atoms, written as CIF:
```
data_FeRh2W
_chemical_formula_sum 'Fe1 Rh2 W1'
_space_group_name_H-M_alt 'P m m m'
_space_group_IT_number 47
_cell_length_a 2.699
_cell_length_b 3.720
_cell_length_c 5.357
_cell_angle_alpha 90.00
_cell_angle_beta 90.00
_cell_angle_gamma 90.00
loop_
_space_group_symop_operation_xyz
'x,y,z'
'-x,-y,-z'
'-x,-y,z'
'x,y,-z'
'x,-y,-z'
'-x,y,z'
'-x,y,-z'
'x,-y,z'
loop_
_atom_site_label
_atom_site_fract_x
_atom_site_fract_y
_atom_site_fract_z
Fe1 0.000 0.000 0.000
Rh1 0.500 0.500 0.242
W1 0.000 0.000 0.500
```

---

Record 12
YPdI2N | PBEsol | relaxed

Calculated values
**Raw formation energy**: 0.124 eV/atom

Cell and atoms, written as CIF:
```
data_YPdI2N
_chemical_formula_sum 'Y1 Pd1 I2 N1'
_space_group_name_H-M_alt 'P 4/m m m'
_space_group_IT_number 123
_space_group_name_Hall '-P 4 2'
_cell_length_a 5.745
_cell_length_b 5.745
_cell_length_c 3.702
_cell_angle_alpha 90.00
_cell_angle_beta 90.00
_cell_angle_gamma 90.00
loop_
_atom_site_label
_atom_site_fract_x
_atom_site_fract_y
_atom_site_fract_z
Y1 0.000 0.000 0.000
Pd1 0.500 0.500 0.500
I1 0.000 0.500 0.500
N1 0.500 0.500 0.000
```

---

Record 13
DyAlCo4 | PBEsol | relaxed

Calculated values
**Excess energy over the best structure of this formula in the dataset**: 0.000 eV/atom
**Energy relative to the elements**: -0.25 eV per atom

Cell and atoms, written as CIF:
```
data_DyAlCo4
_chemical_formula_sum 'Dy2 Al2 Co8'
_space_group_name_H-M_alt 'C m m m'
_space_group_IT_number 65
_space_group_name_Hall '-C 2 2'
_cell_length_a 4.822
_cell_length_b 8.554
_cell_length_c 3.952
_cell_angle_alpha 90.00
_cell_angle_beta 90.00
_cell_angle_gamma 90.00
loop_
_atom_site_label
_atom_site_fract_x
_atom_site_fract_y
_atom_site_fract_z
Dy1 0.000 0.000 0.000
Al1 0.000 0.500 0.500
Co1 0.000 0.314 0.000
Co2 0.250 0.250 0.500
```

---

Record 14
SrSc2W | PBEsol | relaxed

Calculated values
**Excess energy over the best structure of this formula in the dataset**: 0.000 eV/atom
**Energy relative to the elements**: 0.57 eV per atom

Cell and atoms, written as CIF:
```
data_SrSc2W
_chemical_formula_sum 'Sr2 Sc4 W2'
_space_group_name_H-M_alt 'C 1 2/m 1'
_space_group_IT_number 12
_cell_length_a 9.497
_cell_length_b 3.028
_cell_length_c 6.571
_cell_angle_alpha 90.00
_cell_angle_beta 94.65
_cell_angle_gamma 90.00
loop_
_space_group_symop_operation_xyz
'x,y,z'
'-x,-y,-z'
'-x,y,-z'
'x,-y,z'
'x+1/2,y+1/2,z'
'-x+1/2,-y+1/2,-z'
'-x+1/2,y+1/2,-z'
'x+1/2,-y+1/2,z'
loop_
_atom_site_label
_atom_site_fract_x
_atom_site_fract_y
_atom_site_fract_z
Sr1 0.000 0.000 0.000
Sc1 0.235 0.000 0.692
W1 0.000 0.500 0.500
```

---

Record 15
Ba2YCo3O8 | PBEsol | relaxed

Calculated values
**Raw formation energy**: -1.931 eV/atom

Cell and atoms, written as CIF:
```
data_Ba2YCo3O8
_chemical_formula_sum 'Ba2 Y1 Co3 O8'
_space_group_name_H-M_alt 'P 4/m m m'
_space_group_IT_number 123
_space_group_name_Hall '-P 4 2'
_cell_length_a 3.853
_cell_length_b 3.853
_cell_length_c 11.192
_cell_angle_alpha 90.00
_cell_angle_beta 90.00
_cell_angle_gamma 90.00
loop_
_atom_site_label
_atom_site_fract_x
_atom_site_fract_y
_atom_site_fract_z
Ba1 0.000 0.000 0.171
Y1 0.000 0.000 0.500
Co1 0.500 0.500 0.000
Co2 0.500 0.500 0.343
O1 0.000 0.500 0.000
O2 0.000 0.500 0.376
O3 0.500 0.500 0.174
```

---

Record 16
AgAsPt2 | PBEsol | relaxed

Calculated values
**Energy relative to the elements**: -0.02 eV per atom

Cell and atoms, written as CIF:
```
data_AgAsPt2
_chemical_formula_sum 'Ag3 As3 Pt6'
_space_group_name_H-M_alt 'R -3 m'
_space_group_IT_number 166
_space_group_name_Hall '-R 3 2"'
_cell_length_a 2.9066
_cell_length_b 2.9066
_cell_length_c 25.8088
_cell_angle_alpha 90.00
_cell_angle_beta 90.00
_cell_angle_gamma 120.00
loop_
_atom_site_label
_atom_site_fract_x
_atom_site_fract_y
_atom_site_fract_z
Ag1 0.0000 0.0000 0.0000
As1 0.0000 0.0000 0.5000
Pt1 0.0000 0.0000 0.2445
```

---

Record 17
CdIrSe | PBEsol | relaxed

Calculated values
**Raw formation energy**: 0.246 eV/atom

Cell and atoms, written as CIF:
```
data_CdIrSe
_chemical_formula_sum 'Cd1 Ir1 Se1'
_space_group_name_H-M_alt 'P -6 m 2'
_space_group_IT_number 187
_space_group_name_Hall 'P -6 2'
_cell_length_a 4.3371
_cell_length_b 4.3371
_cell_length_c 3.2262
_cell_angle_alpha 90.00
_cell_angle_beta 90.00
_cell_angle_gamma 120.00
loop_
_atom_site_label
_atom_site_fract_x
_atom_site_fract_y
_atom_site_fract_z
Cd1 0.0000 0.0000 0.0000
Ir1 0.3333 0.6667 0.5000
Se1 0.6667 0.3333 0.5000
```

---

Record 18
MnCuBi2C | PBEsol | relaxed

Calculated values
**Energy relative to the elements**: 1.86 eV per atom

Cell and atoms, written as CIF:
```
data_MnCuBi2C
_chemical_formula_sum 'Mn1 Cu1 Bi2 C1'
_space_group_name_H-M_alt 'P 4/m m m'
_space_group_IT_number 123
_space_group_name_Hall '-P 4 2'
_cell_length_a 5.018
_cell_length_b 5.018
_cell_length_c 4.578
_cell_angle_alpha 90.00
_cell_angle_beta 90.00
_cell_angle_gamma 90.00
loop_
_atom_site_label
_atom_site_fract_x
_atom_site_fract_y
_atom_site_fract_z
Mn1 0.000 0.000 0.000
Cu1 0.000 0.000 0.500
Bi1 0.000 0.500 0.500
C1 0.500 0.500 0.000
```

---

Record 19
TcBr2N | PBEsol | relaxed

Calculated values
**Excess energy over the best structure of this formula in the dataset**: 0.000 eV/atom
**Raw formation energy**: 1.407 eV/atom

Cell and atoms, written as CIF:
```
data_TcBr2N
_chemical_formula_sum 'Tc3 Br6 N3'
_space_group_name_H-M_alt 'R -3 m'
_space_group_IT_number 166
_space_group_name_Hall '-R 3 2"'
_cell_length_a 3.3289
_cell_length_b 3.3289
_cell_length_c 22.1959
_cell_angle_alpha 90.00
_cell_angle_beta 90.00
_cell_angle_gamma 120.00
loop_
_atom_site_label
_atom_site_fract_x
_atom_site_fract_y
_atom_site_fract_z
Tc1 0.0000 0.0000 0.0000
Br1 0.0000 0.0000 0.4103
N1 0.0000 0.0000 0.5000
```

---

Record 20
MgTi2O4 | PBEsol | relaxed

Calculated values
**Excess energy over the best structure of this formula in the dataset**: 0.010 eV/atom
**Raw formation energy**: -2.857 eV/atom

Cell and atoms, written as CIF:
```
data_MgTi2O4
_chemical_formula_sum 'Mg6 Ti12 O24'
_space_group_name_H-M_alt 'P 3 m 1'
_space_group_IT_number 156
_cell_length_a 5.9376
_cell_length_b 5.9376
_cell_length_c 14.7658
_cell_angle_alpha 90.00
_cell_angle_beta 90.00
_cell_angle_gamma 120.00
loop_
_space_group_symop_operation_xyz
'x,y,z'
'-y,x-y,z'
'-x+y,-x,z'
'-y,-x,z'
'-x+y,y,z'
'x,x-y,z'
loop_
_atom_site_label
_atom_site_fract_x
_atom_site_fract_y
_atom_site_fract_z
Mg1 0.0000 0.0000 0.0000
Mg2 0.0000 0.0000 0.2421
Mg3 0.3333 0.6667 0.5919
Mg4 0.6667 0.3333 0.2887
Mg5 0.6667 0.3333 0.6574
Mg6 0.6667 0.3333 0.9162
Ti1 0.0000 0.0000 0.6119
Ti2 0.0099 0.5050 0.1233
Ti3 0.1593 0.3187 0.7877
Ti4 0.3067 0.1533 0.4604
Ti5 0.3333 0.6667 0.3403
Ti6 0.3333 0.6667 0.9519
O1 0.0000 0.0000 0.3741
O2 0.0000 0.0000 0.8689
O3 0.0257 0.5128 0.8686
O4 0.1648 0.3297 0.5387
O5 0.1805 0.3610 0.0397
O6 0.3110 0.1555 0.7065
O7 0.3333 0.6667 0.2111
O8 0.3333 0.6667 0.7215
O9 0.3577 0.1788 0.1976
O10 0.5072 0.0143 0.3766
O11 0.6667 0.3333 0.0492
O12 0.6667 0.3333 0.5247
```

---

Record 21
TiCuTeF2 | PBEsol | relaxed

Calculated values
**Raw formation energy**: -1.686 eV/atom

Cell and atoms, written as CIF:
```
data_TiCuTeF2
_chemical_formula_sum 'Ti1 Cu1 Te1 F2'
_space_group_name_H-M_alt 'P 4/m m m'
_space_group_IT_number 123
_space_group_name_Hall '-P 4 2'
_cell_length_a 3.861
_cell_length_b 3.861
_cell_length_c 5.673
_cell_angle_alpha 90.00
_cell_angle_beta 90.00
_cell_angle_gamma 90.00
loop_
_atom_site_label
_atom_site_fract_x
_atom_site_fract_y
_atom_site_fract_z
Ti1 0.000 0.000 0.000
Cu1 0.500 0.500 0.500
Te1 0.000 0.000 0.500
F1 0.000 0.500 0.000
```

---

Record 22
LaMg2Mo | PBEsol | relaxed

Calculated values
**Excess energy over the best structure of this formula in the dataset**: 0.037 eV/atom
**Energy relative to the elements**: 0.37 eV per atom

Cell and atoms, written as CIF:
```
data_LaMg2Mo
_chemical_formula_sum 'La2 Mg4 Mo2'
_space_group_name_H-M_alt 'C m m 2'
_space_group_IT_number 35
_cell_length_a 3.470
_cell_length_b 5.030
_cell_length_c 10.068
_cell_angle_alpha 90.00
_cell_angle_beta 90.00
_cell_angle_gamma 90.00
loop_
_space_group_symop_operation_xyz
'x,y,z'
'-x,-y,z'
'-x,y,z'
'x,-y,z'
'x+1/2,y+1/2,z'
'-x+1/2,-y+1/2,z'
'-x+1/2,y+1/2,z'
'x+1/2,-y+1/2,z'
loop_
_atom_site_label
_atom_site_fract_x
_atom_site_fract_y
_atom_site_fract_z
La1 0.000 0.000 0.000
Mg1 0.000 0.000 0.439
Mg2 0.000 0.500 0.698
Mo1 0.000 0.500 0.223
```